[1]
Computed, not measured: a relaxed YAlCd crystal at the PBE level of DFT.

total DFT energy (no corrections) = -12.1 eV per formula unit
symmetry = Immm (71)
magnetic moment = 0.0 Bohr magnetons per cell
ΔH_f (0 K) = -321 meV per atom

abc: 6.792 6.792 6.792
angles: 145.18 126.73 65.22
Positions (direct):
Y: 0.190 0.190 0.000
Y: 0.810 0.810 0.000
Al: 0.383 0.883 0.500
Al: 0.617 0.117 0.500
Cd: 0.242 0.500 0.742
Cd: 0.758 0.500 0.258

=====

[2]
Computed, not measured: a relaxed Cs4RbAu5 crystal at the PBE level of DFT.

total DFT energy (no corrections) = -23.9 eV per formula unit
symmetry = P4/mmm (123)
magnetic moment = 0.0 Bohr magnetons per cell
ΔH_f (0 K) = -314 meV per atom

abc: 4.323 4.323 21.574
angles: 90.00 90.00 90.00
Positions (direct):
Cs: 0.000 0.000 0.101
Cs: 0.000 0.000 0.305
Cs: 0.000 0.000 0.695
Cs: 0.000 0.000 0.899
Rb: 0.000 0.000 0.500
Au: 0.500 0.500 0.000
Au: 0.500 0.500 0.203
Au: 0.500 0.500 0.409
Au: 0.500 0.500 0.591
Au: 0.500 0.500 0.797

=====

[3]
Computed, not measured: a relaxed GeAs2RhBr crystal at the PBE level of DFT.

total DFT energy (no corrections) = -20.6 eV per formula unit
symmetry = P4/mmm (123)
magnetic moment = 0.0 Bohr magnetons per cell
formation energy (no corrections) = 0.47 eV/atom

abc: 4.735 4.735 5.384
angles: 90.00 90.00 90.00
Positions (direct):
Ge: 0.000 0.000 0.000
As: 0.000 0.500 0.500
As: 0.500 0.000 0.500
Rh: 0.500 0.500 0.500
Br: 0.500 0.500 0.000

=====

[4]
Computed, not measured: a relaxed ThBCl crystal at the PBE level of DFT.

total DFT energy (no corrections) = -19.4 eV per formula unit
symmetry = P2_1/m (11)
magnetic moment = 0.0 Bohr magnetons per cell
formation energy (no corrections) = -1.14 eV/atom

abc: 3.608 3.299 10.976
angles: 90.00 99.44 90.00
Positions (direct):
Th: 0.080 0.250 0.160
Th: 0.920 0.750 0.840
B: 0.486 0.250 0.972
B: 0.514 0.750 0.028
Cl: 0.333 0.250 0.666
Cl: 0.667 0.750 0.334

=====

[5]
Computed, not measured: a relaxed Zr2CdSe crystal at the PBE level of DFT.

total DFT energy (no corrections) = -22.8 eV per formula unit
symmetry = I4/mmm (139)
magnetic moment = 0.0 Bohr magnetons per cell
formation energy (no corrections) = -0.32 eV/atom

abc: 5.093 5.093 5.093
angles: 126.27 126.27 79.45
Positions (direct):
Zr: 0.250 0.750 0.500
Zr: 0.750 0.250 0.500
Cd: 0.000 0.000 0.000
Se: 0.500 0.500 0.000

=====

[6]
Computed, not measured: a relaxed K3LiPa3Se8 crystal at the PBE level of DFT.

total DFT energy (no corrections) = -81.9 eV per formula unit
symmetry = R-3m (166)
magnetic moment = 3.0 Bohr magnetons per cell
formation energy (no corrections) = -1.36 eV/atom

abc: 9.157 9.157 9.157
angles: 54.36 54.36 54.36
Positions (direct):
K: 0.000 0.500 0.500
K: 0.500 0.000 0.500
K: 0.500 0.500 0.000
Li: 0.500 0.500 0.500
Pa: 0.000 0.000 0.500
Pa: 0.000 0.500 0.000
Pa: 0.500 0.000 0.000
Se: 0.224 0.737 0.737
Se: 0.237 0.237 0.237
Se: 0.263 0.263 0.776
Se: 0.263 0.776 0.263
Se: 0.737 0.224 0.737
Se: 0.737 0.737 0.224
Se: 0.763 0.763 0.763
Se: 0.776 0.263 0.263